Entry 1:
CrFe5 | meta-GGA SCAN | single point on PBEsol structure

Computed properties:
- Raw total energy: -106.571 eV/cell
- Formation enthalpy at 0 K: 0.410 eV per atom
- Calculated volume: 9.99 Å³ per atom

```
CrFe5
1.0
2.436 0.000 0.000
-1.218 4.412 0.001
0.000 -1.371 5.577
Fe Cr
5 1
direct
0.668 0.336 0.336
0.387 0.773 0.281
0.725 0.451 0.944
0.055 0.110 0.610
0.331 0.662 0.665
0.000 0.000 0.998
```

Entry 2:
CrFe | meta-GGA SCAN | single point on PBEsol structure

Computed properties:
- Raw total energy: -71.872 eV/cell
- Formation enthalpy at 0 K: 0.289 eV per atom
- Calculated volume: 10.53 Å³ per atom

```
CrFe
1.0
-0.171 -1.081 3.272
-3.037 -1.500 -0.655
3.274 -1.697 -2.209
Fe Cr
2 2
direct
0.750 0.250 0.500
0.500 0.500 0.000
0.000 0.000 0.000
0.250 0.750 0.500
```

Entry 3:
CrFe | meta-GGA SCAN | single point on PBEsol structure

Computed properties:
- Raw total energy: -72.602 eV/cell
- Formation enthalpy at 0 K: 0.107 eV per atom
- Calculated volume: 10.80 Å³ per atom

```
CrFe
1.0
3.938 0.000 0.000
1.969 3.410 0.000
1.969 1.137 3.215
Fe Cr
2 2
direct
0.750 0.750 0.750
0.500 0.500 0.500
0.250 0.250 0.250
0.000 0.000 0.000
```

Number 1: size of the total moment 0.00 μB/cell. Number 2: size of the total moment 0.13 μB/cell. Number 3: size of the total moment 4.00 μB/cell.